one | ## PdPt2Rh2 (PBE)

Data for a relaxed structure of PdPt2Rh2.

Properties
V ... 15.99 A^3/atom
SG ... P4/mbm, No. 127

Cell: 7.6276 7.6276 2.7486 Å, 90.00 90.00 90.00°
Last column: nearest neighbours and their distance in Å.
Atoms (fractional coordinates):
1 Rh 0.3787 0.8787 0.0000  6 Pt 2.58-2.69, 3 Rh 2.62-2.75
2 Rh 0.8787 0.6213 0.0000  6 Pt 2.58-2.69, 3 Rh 2.62-2.75
3 Rh 0.6213 0.1213 0.0000  6 Pt 2.58-2.69, 3 Rh 2.62-2.75
4 Rh 0.1213 0.3787 0.0000  6 Pt 2.58-2.69, 3 Rh 2.62-2.75
5 Pd 0.0000 0.0000 0.0000  2 Pd 2.75, 4 Rh 3.03
6 Pd 0.5000 0.5000 0.0000  2 Pd 2.75, 4 Rh 3.03
7 Pt 0.1765 0.6765 0.5000  6 Rh 2.58-2.69, 2 Pt 2.75
8 Pt 0.6765 0.8235 0.5000  6 Rh 2.58-2.69, 2 Pt 2.75
9 Pt 0.8235 0.3235 0.5000  6 Rh 2.58-2.69, 2 Pt 2.75
10 Pt 0.3235 0.1765 0.5000  6 Rh 2.58-2.69, 2 Pt 2.75

two | ## PdPt2Rh2 (PBE)

Data for a relaxed structure of PdPt2Rh2.

Properties
V ... 15.41 A^3/atom
SG ... Imma, No. 74

Cell: 4.5445 7.1538 7.1538 Å, 120.47 108.52 108.52°
Last column: nearest neighbours and their distance in Å.
Atoms (fractional coordinates):
1 Pd 0.7500 0.8659 0.1341  5 Pt 2.69-2.94, 6 Rh 2.80
2 Pd 0.2500 0.1341 0.8659  5 Pt 2.69-2.94, 6 Rh 2.80
3 Pt 0.7500 0.6291 0.3709  2 Pt 2.72, 3 Pd 2.73-2.94, 6 Rh 2.75-2.78
4 Pt 0.7500 0.2502 0.7498  2 Pd 2.69, 4 Rh 2.70, 4 Pt 2.72-2.73
5 Pt 0.2500 0.7498 0.2502  2 Pd 2.69, 4 Rh 2.70, 4 Pt 2.72-2.73
6 Pt 0.2500 0.3709 0.6291  2 Pt 2.72, 3 Pd 2.73-2.94, 6 Rh 2.75-2.78
7 Rh 0.0002 0.6877 0.8128  5 Pt 2.70-2.78, 4 Rh 2.73-2.75, 3 Pd 2.80
8 Rh 0.4998 0.1872 0.3123  5 Pt 2.70-2.78, 4 Rh 2.73-2.75, 3 Pd 2.80
9 Rh 0.5002 0.8128 0.6877  5 Pt 2.70-2.78, 4 Rh 2.73-2.75, 3 Pd 2.80
10 Rh 0.9998 0.3123 0.1872  5 Pt 2.70-2.78, 4 Rh 2.73-2.75, 3 Pd 2.80

three | ## PdPt2Rh2 (PBE)

Data for a relaxed structure of PdPt2Rh2.

Properties
V ... 18.04 A^3/atom
SG ... I4/mmm, No. 139

Cell: 4.7794 4.7794 5.1975 Å, 117.37 117.37 90.00°
Last column: nearest neighbours and their distance in Å.
Atoms (fractional coordinates):
1 Pd 0.0000 0.0000 0.0000  2 Pt 2.74
2 Pt 0.6531 0.6531 0.3062  1 Pt 2.42, 4 Rh 2.51
3 Pt 0.3469 0.3469 0.6938  1 Pt 2.42, 4 Rh 2.51
4 Rh 0.2500 0.7500 0.5000  4 Pt 2.51
5 Rh 0.7500 0.2500 0.5000  4 Pt 2.51

The least stable of them is three.

one | ## Pd2Pt2Rh (PBE)

Data for a relaxed structure of Pd2Pt2Rh.

Properties
V ... 15.25 A^3/atom
SG ... R-3m, No. 166

Cell: 2.7772 2.7772 11.5281 Å, 83.08 83.08 60.00°
Last column: nearest neighbours and their distance in Å.
Atoms (fractional coordinates):
1 Pd 0.8666 0.8666 0.4002  9 Pd 2.78-2.79, 3 Pt 2.83
2 Pd 0.1334 0.1334 0.5998  9 Pd 2.78-2.79, 3 Pt 2.83
3 Pt 0.3987 0.3987 0.8039  3 Rh 2.75, 6 Pt 2.78, 3 Pd 2.83
4 Pt 0.6013 0.6013 0.1961  3 Rh 2.75, 6 Pt 2.78, 3 Pd 2.83
5 Rh 0.0000 0.0000 0.0000  6 Pt 2.75, 6 Rh 2.78

two | ## Pd2Pt2Rh (PBE)

Data for a relaxed structure of Pd2Pt2Rh.

Properties
V ... 16.59 A^3/atom
SG ... P4/mbm, No. 127

Cell: 6.7007 6.7007 3.6941 Å, 90.00 90.00 90.00°
Last column: nearest neighbours and their distance in Å.
Atoms (fractional coordinates):
1 Rh 0.0000 0.0000 0.0000  4 Pt 2.59
2 Rh 0.5000 0.5000 0.0000  4 Pt 2.59
3 Pd 0.1604 0.6604 0.5000  6 Pt 2.64-2.74
4 Pd 0.6604 0.8396 0.5000  6 Pt 2.64-2.74
5 Pd 0.8396 0.3396 0.5000  6 Pt 2.64-2.74
6 Pd 0.3396 0.1604 0.5000  6 Pt 2.64-2.74
7 Pt 0.3600 0.8600 0.0000  2 Rh 2.59, 6 Pd 2.64-2.74, 1 Pt 2.65
8 Pt 0.8600 0.6400 0.0000  2 Rh 2.59, 6 Pd 2.64-2.74, 1 Pt 2.65
9 Pt 0.6400 0.1400 0.0000  2 Rh 2.59, 6 Pd 2.64-2.74, 1 Pt 2.65
10 Pt 0.1400 0.3600 0.0000  2 Rh 2.59, 6 Pd 2.64-2.74, 1 Pt 2.65

The least stable of them is two.

one | ## PdPtRh (PBE)

Data for a relaxed structure of PdPtRh.

Properties
V ... 15.74 A^3/atom
SG ... Pnma, No. 62

Cell: 4.8739 5.3967 7.1807 Å, 90.00 90.00 90.00°
Last column: nearest neighbours and their distance in Å.
Atoms (fractional coordinates):
1 Rh 0.2500 0.7500 0.8012  2 Rh 2.70, 4 Pd 2.72-2.76, 4 Pt 2.72-2.73
2 Rh 0.2500 0.2500 0.8012  2 Rh 2.70, 4 Pd 2.72-2.76, 4 Pt 2.72-2.73
3 Rh 0.7500 0.2500 0.3012  2 Rh 2.70, 4 Pd 2.72-2.76, 4 Pt 2.72-2.73
4 Rh 0.7500 0.7500 0.3012  2 Rh 2.70, 4 Pd 2.72-2.76, 4 Pt 2.72-2.73
5 Pt 0.3394 0.5000 0.1249  5 Pd 2.63-2.70, 4 Rh 2.72-2.73
6 Pt 0.6606 0.5000 0.6249  5 Pd 2.63-2.70, 4 Rh 2.72-2.73
7 Pt 0.1606 0.0000 0.4776  5 Pd 2.63-2.70, 4 Rh 2.72-2.73
8 Pt 0.8394 0.0000 0.9776  5 Pd 2.63-2.70, 4 Rh 2.72-2.73
9 Pd 0.8348 0.5000 0.9714  5 Pt 2.63-2.70, 4 Rh 2.72-2.76
10 Pd 0.1652 0.5000 0.4714  5 Pt 2.63-2.70, 4 Rh 2.72-2.76
11 Pd 0.6652 0.0000 0.6311  5 Pt 2.63-2.70, 4 Rh 2.72-2.76
12 Pd 0.3348 0.0000 0.1311  5 Pt 2.63-2.70, 4 Rh 2.72-2.76

two | ## PdPtRh (PBE)

Data for a relaxed structure of PdPtRh.

Properties
V ... 15.20 A^3/atom
SG ... C2/m, No. 12

Cell: 2.7623 5.3741 7.3450 Å, 60.19 79.16 75.11°
Last column: nearest neighbours and their distance in Å.
Atoms (fractional coordinates):
1 Pd 0.8079 0.2469 0.1373  5 Rh 2.75-2.84, 4 Pd 2.76-2.80, 3 Pt 2.79-2.80
2 Pd 0.1921 0.7531 0.8627  5 Rh 2.75-2.84, 4 Pd 2.76-2.80, 3 Pt 2.79-2.80
3 Pt 0.8635 0.7445 0.5286  5 Pt 2.76-2.84, 4 Rh 2.77-2.78, 3 Pd 2.79-2.80
4 Pt 0.1365 0.2555 0.4714  5 Pt 2.76-2.84, 4 Rh 2.77-2.78, 3 Pd 2.79-2.80
5 Rh 0.4728 0.2471 0.8072  3 Rh 2.75-2.76, 5 Pd 2.75-2.84, 4 Pt 2.77-2.78
6 Rh 0.5272 0.7529 0.1928  3 Rh 2.75-2.76, 5 Pd 2.75-2.84, 4 Pt 2.77-2.78

The least stable of them is one.

one | ## PdPtRh (PBE)

Data for a relaxed structure of PdPtRh.

Properties
V ... 15.02 A^3/atom
SG ... Pmmn, No. 59

Cell: 2.7600 3.9116 8.7915 Å, 90.00 71.74 90.00°
Last column: nearest neighbours and their distance in Å.
Atoms (fractional coordinates):
1 Pd 0.9511 0.7291 0.2636  6 Pd 2.76-2.79, 5 Pt 2.78-2.84, 1 Rh 2.80
2 Pd 0.2814 0.2291 0.4342  6 Pd 2.76-2.79, 5 Pt 2.78-2.84, 1 Rh 2.80
3 Pt 0.6117 0.7291 0.6037  5 Rh 2.71-2.77, 2 Pt 2.76, 5 Pd 2.78-2.84
4 Pt 0.6208 0.2291 0.0941  5 Rh 2.71-2.77, 2 Pt 2.76, 5 Pd 2.78-2.84
5 Rh 0.9458 0.2292 0.7695  5 Pt 2.71-2.77, 6 Rh 2.74-2.76, 1 Pd 2.80
6 Rh 0.2866 0.7292 0.9283  5 Pt 2.71-2.77, 6 Rh 2.74-2.76, 1 Pd 2.80

two | ## PdPtRh (PBE)

Data for a relaxed structure of PdPtRh.

Properties
V ... 15.04 A^3/atom
SG ... I4mm, No. 107

Cell: 2.7798 2.7798 6.1610 Å, 103.04 103.04 90.00°
Last column: nearest neighbours and their distance in Å.
Atoms (fractional coordinates):
1 Rh 0.6669 0.6669 0.3337  4 Pt 2.74, 4 Pd 2.75, 4 Rh 2.78
2 Pd 0.0025 0.0025 0.0050  4 Rh 2.75, 4 Pd 2.78, 4 Pt 2.81
3 Pt 0.3306 0.3306 0.6612  4 Rh 2.74, 4 Pt 2.78, 4 Pd 2.81

three | ## PdPtRh (PBE)

Data for a relaxed structure of PdPtRh.

Properties
V ... 15.03 A^3/atom
SG ... P3m1, No. 156

Cell: 2.7720 2.7720 6.7753 Å, 90.00 90.00 120.00°
Last column: nearest neighbours and their distance in Å.
Atoms (fractional coordinates):
1 Rh 0.6667 0.3333 0.3325  3 Pd 2.74, 3 Pt 2.75, 6 Rh 2.77
2 Pd 0.0000 0.0000 0.0044  3 Rh 2.74, 6 Pd 2.77, 3 Pt 2.81
3 Pt 0.3333 0.6667 0.6631  3 Rh 2.75, 6 Pt 2.77, 3 Pd 2.81

The least stable of them is two.

one | ## PdPt6Rh2 (PBE)

Data for a relaxed structure of PdPt6Rh2.

Properties
V ... 15.66 A^3/atom
SG ... P-31m, No. 162

Cell: 2.7262 7.7252 7.7252 Å, 120.00 90.00 90.00°
Last column: nearest neighbours and their distance in Å.
Atoms (fractional coordinates):
1 Pd 0.0000 0.0000 0.0000  6 Pt 2.69, 2 Pd 2.73
2 Pt 0.2422 0.0000 0.3370  2 Rh 2.66, 1 Pd 2.69, 8 Pt 2.73-2.96
3 Pt 0.2422 0.6630 0.6630  2 Rh 2.66, 1 Pd 2.69, 8 Pt 2.73-2.96
4 Pt 0.7578 0.0000 0.6630  2 Rh 2.66, 1 Pd 2.69, 8 Pt 2.73-2.96
5 Pt 0.7578 0.6630 0.0000  2 Rh 2.66, 1 Pd 2.69, 8 Pt 2.73-2.96
6 Pt 0.7578 0.3370 0.3370  2 Rh 2.66, 1 Pd 2.69, 8 Pt 2.73-2.96
7 Pt 0.2422 0.3370 0.0000  2 Rh 2.66, 1 Pd 2.69, 8 Pt 2.73-2.96
8 Rh 0.5000 0.6667 0.3333  6 Pt 2.66, 2 Rh 2.73
9 Rh 0.5000 0.3333 0.6667  6 Pt 2.66, 2 Rh 2.73

two | ## PdPt6Rh2 (PBE)

Data for a relaxed structure of PdPt6Rh2.

Properties
V ... 15.50 A^3/atom
SG ... C2/m, No. 12

Cell: 4.7698 4.7318 14.2026 Å, 119.51 90.00 90.00°
Last column: nearest neighbours and their distance in Å.
Atoms (fractional coordinates):
1 Pd 0.5000 0.5000 0.0000  10 Pt 2.75-2.78
2 Pd 0.0000 0.0000 0.5000  10 Pt 2.75-2.78
3 Pt 0.5002 0.1624 0.7753  5 Pt 2.71-2.76, 4 Rh 2.72-2.76, 1 Pd 2.78
4 Pt 0.4999 0.1690 0.4446  3 Rh 2.71-2.74, 5 Pt 2.72-2.76, 2 Pd 2.75
5 Pt 0.4998 0.1674 0.1136  5 Pt 2.71-2.81, 3 Rh 2.73-2.74, 2 Pd 2.75
6 Pt 0.9998 0.3326 0.3864  5 Pt 2.71-2.81, 3 Rh 2.73-2.74, 2 Pd 2.75
7 Pt 0.9999 0.3310 0.0554  3 Rh 2.71-2.74, 5 Pt 2.72-2.76, 2 Pd 2.75
8 Pt 0.0002 0.3376 0.7247  5 Pt 2.71-2.76, 4 Rh 2.72-2.76, 1 Pd 2.78
9 Pt 0.4998 0.8376 0.2247  5 Pt 2.71-2.76, 4 Rh 2.72-2.76, 1 Pd 2.78
10 Pt 0.5001 0.8310 0.5554  3 Rh 2.71-2.74, 5 Pt 2.72-2.76, 2 Pd 2.75
11 Pt 0.5002 0.8326 0.8864  5 Pt 2.71-2.81, 3 Rh 2.73-2.74, 2 Pd 2.75
12 Pt 0.0002 0.6674 0.6136  5 Pt 2.71-2.81, 3 Rh 2.73-2.74, 2 Pd 2.75
13 Pt 0.0001 0.6690 0.9446  3 Rh 2.71-2.74, 5 Pt 2.72-2.76, 2 Pd 2.75
14 Pt 0.9998 0.6624 0.2753  5 Pt 2.71-2.76, 4 Rh 2.72-2.76, 1 Pd 2.78
15 Rh 0.9998 0.9963 0.1649  10 Pt 2.71-2.76
16 Rh 0.4998 0.5037 0.3351  10 Pt 2.71-2.76
17 Rh 0.5002 0.4963 0.6649  10 Pt 2.71-2.76
18 Rh 0.0002 0.0037 0.8351  10 Pt 2.71-2.76

The least stable of them is one.